Record 1
! TcNi2P, optimized geometry, DFT GGA-PBEsol; values from VASP
! * SG: R3m
! * calculated density: 8.63 Mg/m³
! * E_form: -0.23 eV per formula unit
&SYSTEM
  ibrav = 0, nat = 4, ntyp = 3
/
ATOMIC_SPECIES
P 30.97 P.upf
Tc 98.00 Tc.upf
Ni 58.69 Ni.upf
ATOMIC_POSITIONS crystal
P 0.496 0.496 0.511
Tc 0.245 0.245 0.265
Ni 0.002 0.002 0.993
Ni 0.757 0.757 0.730
CELL_PARAMETERS angstrom
-0.600 0.352 2.617
-2.427 -0.742 0.944
1.666 -6.935 2.715

Record 2
! MnHgCl, optimized geometry, DFT GGA-PBEsol; values from VASP
! * SG: Fmm2
! * E_form (uncorrected): -0.052 eV/atom
! * calculated density: 8.04 Mg/m³
&SYSTEM
  ibrav = 0, nat = 3, ntyp = 3
/
ATOMIC_SPECIES
Mn 54.94 Mn.upf
Cl 35.45 Cl.upf
Hg 200.59 Hg.upf
ATOMIC_POSITIONS crystal
Mn 0.652 0.652 0.305
Cl 0.043 0.043 0.086
Hg 0.305 0.305 0.609
CELL_PARAMETERS angstrom
-0.567 -2.824 -1.252
1.174 0.988 -2.740
5.239 -0.949 3.697

Record 3
! HgSbAsSe2, optimized geometry, DFT GGA-PBEsol; values from VASP
! * SG: P4/mmm
! * E_form (uncorrected): 0.609 eV/atom
! * calculated density: 6.36 Mg/m³
&SYSTEM
  ibrav = 0, nat = 5, ntyp = 4
/
ATOMIC_SPECIES
Sb 121.76 Sb.upf
Se 78.96 Se.upf
Hg 200.59 Hg.upf
As 74.92 As.upf
ATOMIC_POSITIONS crystal
Sb 0.000 0.000 0.000
Se 0.000 0.500 0.000
Se 0.500 0.000 0.000
Hg 0.500 0.500 0.500
As 0.000 0.000 0.500
CELL_PARAMETERS angstrom
-3.086 -3.894 -1.629
1.685 -2.987 3.947
-3.924 1.829 3.059

Record 4
! Cs, optimized geometry, DFT GGA-PBEsol; values from VASP
! * E above lowest polymorph: 0 meV/atom
! * SG: Cmcm
! * calculated density: 2.05 Mg/m³
! * E_form: 0.00 eV per formula unit
&SYSTEM
  ibrav = 0, nat = 2, ntyp = 1
/
ATOMIC_SPECIES
Cs 132.91 Cs.upf
ATOMIC_POSITIONS crystal
Cs 0.839 0.677 0.750
Cs 0.161 0.323 0.250
CELL_PARAMETERS angstrom
5.323 0.000 0.000
-2.661 4.662 0.000
0.000 0.000 8.683

Record 5
! Li2CaMg, optimized geometry, DFT GGA-PBEsol; values from VASP
! * SG: I-4m2
! * calculated density: 1.28 Mg/m³
! * E_form: 0.03 eV per formula unit
&SYSTEM
  ibrav = 0, nat = 4, ntyp = 3
/
ATOMIC_SPECIES
Li 6.94 Li.upf
Ca 40.08 Ca.upf
Mg 24.30 Mg.upf
ATOMIC_POSITIONS crystal
Li 0.000 0.000 0.000
Li 0.750 0.250 0.500
Ca 0.250 0.750 0.500
Mg 0.500 0.500 0.000
CELL_PARAMETERS angstrom
4.556 0.000 0.000
0.000 4.556 0.000
-2.278 -2.278 4.896

Record 6
! CaGaTeW2, optimized geometry, DFT GGA-PBEsol; values from VASP
! * SG: P4/mmm
! * E_form (uncorrected): 1.409 eV/atom
! * calculated density: 8.57 Mg/m³
&SYSTEM
  ibrav = 0, nat = 5, ntyp = 4
/
ATOMIC_SPECIES
W 183.84 W.upf
Ga 69.72 Ga.upf
Te 127.60 Te.upf
Ca 40.08 Ca.upf
ATOMIC_POSITIONS crystal
W 0.000 0.500 0.000
W 0.500 0.000 0.000
Ga 0.000 0.000 0.000
Te 0.000 0.000 0.500
Ca 0.500 0.500 0.500
CELL_PARAMETERS angstrom
-1.063 0.100 4.568
3.815 -2.562 0.944
2.857 4.463 0.567

Record 7
! BaPdC3, optimized geometry, DFT GGA-PBEsol; values from VASP
! * SG: Pm-3m
! * calculated density: 6.32 Mg/m³
! * E_form: 9.85 eV per formula unit
&SYSTEM
  ibrav = 0, nat = 5, ntyp = 3
/
ATOMIC_SPECIES
C 12.01 C.upf
Pd 106.42 Pd.upf
Ba 137.33 Ba.upf
ATOMIC_POSITIONS crystal
C 0.000 0.500 0.000
C 0.500 0.000 0.000
C 0.000 0.000 0.500
Pd 0.000 0.000 0.000
Ba 0.500 0.500 0.500
CELL_PARAMETERS angstrom
-1.287 3.985 0.148
-2.431 -0.661 -3.348
-3.161 -1.115 2.515

Record 8
! AlSbP2S, optimized geometry, DFT GGA-PBEsol; values from VASP
! * SG: P4/mmm
! * E_form (uncorrected): 0.945 eV/atom
! * calculated density: 3.30 Mg/m³
&SYSTEM
  ibrav = 0, nat = 5, ntyp = 4
/
ATOMIC_SPECIES
Sb 121.76 Sb.upf
S 32.06 S.upf
Al 26.98 Al.upf
P 30.97 P.upf
ATOMIC_POSITIONS crystal
Sb 0.000 0.000 0.000
S 0.500 0.000 0.000
Al 0.500 0.500 0.500
P 0.000 0.500 0.000
P 0.000 0.000 0.500
CELL_PARAMETERS angstrom
4.925 0.000 0.000
0.000 4.978 0.000
0.000 0.000 4.978